--- w ---
DFT (GGA-PBE) results for an optimized crystal structure of GaCu2HPt.

The structure belongs to space group P4/mmm (No. 123); the cell edges are 3.659, 3.659 and 4.327 Å and the angles 90.00°, 90.00° and 90.00°. Symmetry generates all atoms from Ga at (0.000, 0.000, 0.000), Cu at (0.000, 0.500, 0.500), H at (0.000, 0.000, 0.500) and Pt at (0.500, 0.500, 0.000).

=====

--- x ---
DFT (GGA-PBE) results for an optimized crystal structure of GaCu2HPt.

The structure belongs to space group P4/mmm (No. 123); the cell edges are 3.862, 3.862 and 3.878 Å and the angles 90.00°, 90.00° and 90.00°. Symmetry generates all atoms from Ga at (0.000, 0.000, 0.000), Cu at (0.000, 0.500, 0.500), H at (0.500, 0.500, 0.500) and Pt at (0.500, 0.500, 0.000).

=====

Q: Which of them is the least stable? A: w.

=====

--- w ---
DFT (GGA-PBE) results for an optimized crystal structure of GaCu2HRh.

The structure belongs to space group P4/mmm (No. 123); the cell edges are 3.597, 3.597 and 4.347 Å and the angles 90.00°, 90.00° and 90.00°. Symmetry generates all atoms from Ga at (0.000, 0.000, 0.000), Cu at (0.000, 0.500, 0.500), H at (0.000, 0.000, 0.500) and Rh at (0.500, 0.500, 0.000).

=====

--- x ---
DFT (GGA-PBE) results for an optimized crystal structure of GaCu2HRh.

The structure belongs to space group P4/mmm (No. 123); the cell edges are 3.785, 3.785 and 3.862 Å and the angles 90.00°, 90.00° and 90.00°. Symmetry generates all atoms from Ga at (0.000, 0.000, 0.000), Cu at (0.000, 0.500, 0.500), H at (0.500, 0.500, 0.500) and Rh at (0.500, 0.500, 0.000).

=====

Q: Which of them is the least stable? A: w.

=====

--- w ---
DFT (GGA-PBE) results for an optimized crystal structure of Ti2GaCuH.

The structure belongs to space group P4/mmm (No. 123); the cell edges are 3.994, 3.994 and 3.863 Å and the angles 90.00°, 90.00° and 90.00°. Symmetry generates all atoms from Ti at (0.000, 0.500, 0.000), Ga at (0.000, 0.000, 0.500), Cu at (0.500, 0.500, 0.500) and H at (0.500, 0.500, 0.000).

=====

--- x ---
DFT (GGA-PBE) results for an optimized crystal structure of Ti2GaCuH.

The structure belongs to space group P4/mmm (No. 123); the cell edges are 3.883, 3.883 and 4.152 Å and the angles 90.00°, 90.00° and 90.00°. Symmetry generates all atoms from Ti at (0.000, 0.500, 0.000), Ga at (0.000, 0.000, 0.500), Cu at (0.500, 0.500, 0.500) and H at (0.000, 0.000, 0.000).

=====

Q: Which of them is the least stable? A: x.